! Tb2UNiO8 | the Alexandria database | PBE+U | relaxed; values from VASP
&SYSTEM
  ibrav = 0, nat = 12, ntyp = 4
/
ATOMIC_SPECIES
Ni 58.69 Ni.upf
U 238.03 U.upf
O 16.00 O.upf
Tb 158.93 Tb.upf
ATOMIC_POSITIONS crystal
Ni 0.000 0.000 0.500
U 0.000 0.000 0.000
O 0.084 0.697 0.190
O 0.681 0.740 0.488
O 0.916 0.303 0.810
Tb 0.563 0.485 0.259
Tb 0.437 0.515 0.741
O 0.101 0.843 0.733
O 0.899 0.157 0.267
O 0.319 0.260 0.512
O 0.415 0.233 0.024
O 0.585 0.767 0.976
CELL_PARAMETERS angstrom
4.179 -0.263 -0.125
-0.221 5.244 0.371
-0.143 0.507 7.369
! * total magnetic moment: 2.05 μB per formula unit
! * total energy: -7.7903 eV/atom
! * ρ: 7.7 g/cm3
! * space-group type: No. 2